# 1
Entry from the Alexandria database: a geometry-optimized Ho2VPt9 structure (GGA-PBE).

extended XYZ file:
```
12
Lattice="4.044 0.000 0.000 0.000 4.044 0.000 0.000 0.000 12.158" Properties=species:S:1:pos:R:3 pbc="T T T"
Ho 0.000 0.000 2.057
Ho 0.000 0.000 10.101
V 0.000 0.000 6.079
Pt 0.000 2.022 0.000
Pt 0.000 2.022 4.229
Pt 0.000 2.022 7.928
Pt 2.022 0.000 0.000
Pt 2.022 0.000 4.229
Pt 2.022 0.000 7.928
Pt 2.022 2.022 2.111
Pt 2.022 2.022 6.079
Pt 2.022 2.022 10.047
```

Properties
Formation energy from the elements: -0.856 eV per atom

# 2
Entry from the Alexandria database: a geometry-optimized NbTl2GeTe structure (GGA-PBE).

extended XYZ file:
```
5
Lattice="5.304 0.000 0.000 0.000 5.304 0.000 0.000 0.000 5.695" Properties=species:S:1:pos:R:3 pbc="T T T"
Nb 0.000 0.000 0.000
Tl 0.000 2.652 2.847
Tl 2.652 0.000 2.847
Ge 2.652 2.652 2.847
Te 2.652 2.652 0.000
```

Properties
ΔE_f (raw): 4.94 eV per formula unit

# 3
Entry from the Alexandria database: a geometry-optimized YC3O structure (GGA-PBE).

extended XYZ file:
```
5
Lattice="4.625 0.000 0.000 0.000 4.625 0.000 0.000 0.000 4.625" Properties=species:S:1:pos:R:3 pbc="T T T"
Y 0.000 0.000 0.000
C 0.000 0.000 2.312
C 0.000 2.312 0.000
C 2.312 0.000 0.000
O 2.312 2.312 2.312
```

Properties
ΔE_f (raw): 16.94 eV per formula unit

# 4
Entry from the Alexandria database: a geometry-optimized Na6AgHg12 structure (GGA-PBE).

extended XYZ file:
```
19
Lattice="5.831 3.366 4.208 -5.831 3.366 4.208 0.000 -6.733 4.208" Properties=species:S:1:pos:R:3 pbc="T T T"
Na -3.254 0.718 5.628
Na -2.249 -2.459 6.997
Na 1.005 -3.177 5.628
Na -1.005 3.177 6.997
Na 2.249 2.459 5.628
Na 3.254 -0.718 6.997
Ag 0.000 0.000 6.312
Hg -5.341 -1.475 7.123
Hg -1.393 -5.363 5.502
Hg -1.348 -1.449 4.129
Hg -3.948 3.888 5.502
Hg -0.581 1.892 4.129
Hg 1.929 -0.443 4.129
Hg -1.929 0.443 8.495
Hg 0.581 -1.892 8.495
Hg 3.948 -3.888 7.123
Hg 1.348 1.449 8.495
Hg 1.393 5.363 7.123
Hg 5.341 1.475 5.502
```

Properties
Formation energy from the elements: -0.177 eV per atom

# 5
Entry from the Alexandria database: a geometry-optimized PmScGa2 structure (GGA-PBE).

extended XYZ file:
```
4
Lattice="1.783 1.029 8.650 -1.783 1.029 8.650 0.000 -2.059 8.650" Properties=species:S:1:pos:R:3 pbc="T T T"
Pm 0.000 0.000 0.000
Sc 0.000 0.000 12.976
Ga 0.000 0.000 6.330
Ga 0.000 0.000 19.621
```

Properties
Formation energy from the elements: -0.367 eV per atom